1.
MgBiCl4 | PBE | relaxed

```
MgBiCl4
1.0
-3.028 -0.919 5.979
-2.927 -4.993 -3.558
9.090 -2.261 1.082
Mg Bi Cl
2 2 8
Cartesian
-1.525 -1.326 4.764
4.660 -6.847 -1.261
-0.850 -3.896 0.230
3.985 -4.278 3.274
5.191 -2.183 2.035
-1.836 -4.608 -2.330
1.476 -2.757 -0.589
4.431 -6.212 1.251
-2.056 -5.991 1.469
1.660 -5.416 4.092
4.971 -3.565 5.834
-1.296 -1.962 2.253
```

## Properties
SG: No. 15
ΔE_f (raw) (eV/atom): -1.1505
Electronic total energy (eV per cell): -39.53
Spin magnetization (Bohr magnetons per cell): 2.00
Crystal system: monoclinic



2.
MgBiCl2 | PBE | relaxed

```
MgBiCl2
1.0
-1.972 -3.534 -6.095
1.017 -6.406 3.386
-5.163 -4.926 0.136
Mg Bi Cl
2 2 4
Cartesian
-0.478 -4.970 -1.355
-2.312 -8.151 1.083
0.000 0.000 0.000
-3.806 -6.716 -3.657
-2.106 -3.722 -2.457
-1.191 -6.196 0.492
-4.081 -8.364 -0.417
-4.857 -11.451 -2.766
```

## Properties
SG: No. 122
ΔE_f (raw) (eV/atom): -0.6937
Electronic total energy (eV per cell): -23.89
Spin magnetization (Bohr magnetons per cell): 0.00
Energy relative to the lowest polymorph listed for this composition (kcal/mol of atoms): 11.682
Crystal system: tetragonal



3.
Mg2Bi2Cl | PBE | relaxed

```
Mg2Bi2Cl
1.0
-7.313 -1.181 4.949
-4.811 -1.215 -7.399
0.636 -3.361 0.138
Mg Bi Cl
4 4 2
Cartesian
-6.496 -1.416 -4.526
-9.311 -1.794 -0.759
-5.628 -0.980 2.076
-2.812 -0.602 -1.691
-3.748 -2.616 -3.966
-8.492 -3.481 -3.164
-7.739 -3.141 1.654
-2.996 -2.276 0.852
0.000 0.000 0.000
-6.062 -1.198 -1.225
```

## Properties
SG: No. 127
ΔE_f (raw) (eV/atom): -0.2316
Electronic total energy (eV per cell): -27.91
Spin magnetization (Bohr magnetons per cell): 0.00
Crystal system: tetragonal



4.
MgBi2Cl | PBE | relaxed

```
MgBi2Cl
1.0
-0.319 -2.224 -3.922
0.724 -3.906 2.156
-11.543 -4.320 0.786
Mg Bi Cl
2 4 2
Cartesian
0.202 -3.065 -0.883
-5.309 -5.646 1.030
-2.985 -2.888 -1.861
-2.483 -3.869 0.930
-8.483 -5.662 -0.005
-8.326 -8.481 -1.023
0.000 0.000 0.000
-5.830 -4.805 -2.009
```

## Properties
SG: No. 122
ΔE_f (raw) (eV/atom): -0.2501
Electronic total energy (eV per cell): -24.41
Spin magnetization (Bohr magnetons per cell): 0.00
Energy relative to the lowest polymorph listed for this composition (kcal/mol of atoms): 0.000
Crystal system: tetragonal



> Which formula does entry 1 have?

MgBiCl4



> Look up the electronic total energy of the fourth one.

-24.41 eV per cell



Repeat the fourth record exactly.
MgBi2Cl | PBE | relaxed

```
MgBi2Cl
1.0
-0.319 -2.224 -3.922
0.724 -3.906 2.156
-11.543 -4.320 0.786
Mg Bi Cl
2 4 2
Cartesian
0.202 -3.065 -0.883
-5.309 -5.646 1.030
-2.985 -2.888 -1.861
-2.483 -3.869 0.930
-8.483 -5.662 -0.005
-8.326 -8.481 -1.023
0.000 0.000 0.000
-5.830 -4.805 -2.009
```

## Properties
SG: No. 122
ΔE_f (raw) (eV/atom): -0.2501
Electronic total energy (eV per cell): -24.41
Spin magnetization (Bohr magnetons per cell): 0.00
Energy relative to the lowest polymorph listed for this composition (kcal/mol of atoms): 0.000
Crystal system: tetragonal



> Which value of ΔE_f (raw) does entry 4 give?

-0.2501 eV/atom